--- A ---
# CoIr2Rh2, relaxed, DFT GGA-PBE
data_CoIr2Rh2
_cell_length_a 4.724
_cell_length_b 4.724
_cell_length_c 7.623
_cell_angle_alpha 90.00
_cell_angle_beta 90.00
_cell_angle_gamma 90.00
_space_group_name_H-M_alt 'P 1'
_space_group_IT_number 1
_space_group_name_Hall 'P 1'
loop_
_atom_site_label
_atom_site_type_symbol
_atom_site_fract_x
_atom_site_fract_y
_atom_site_fract_z
_atom_site_occupancy
Co1 Co 0.000 0.000 0.000 1
Co2 Co 0.500 0.500 0.500 1
Ir1 Ir 0.000 0.500 0.250 1
Ir2 Ir 0.000 0.500 0.750 1
Ir3 Ir 0.500 0.000 0.250 1
Ir4 Ir 0.500 0.000 0.750 1
Rh1 Rh 0.000 0.000 0.346 1
Rh2 Rh 0.000 0.000 0.654 1
Rh3 Rh 0.500 0.500 0.154 1
Rh4 Rh 0.500 0.500 0.846 1
# - D(E_F) (states/eV/f.u.) = 8.7
# - M_tot (μB/f.u.) = 2.2

***

--- B ---
# CoIr2Rh2, relaxed, DFT GGA-PBE
data_CoIr2Rh2
_cell_length_a 3.514
_cell_length_b 3.514
_cell_length_c 12.514
_cell_angle_alpha 90.00
_cell_angle_beta 90.00
_cell_angle_gamma 90.00
_space_group_name_H-M_alt 'P 1'
_space_group_IT_number 1
_space_group_name_Hall 'P 1'
loop_
_atom_site_label
_atom_site_type_symbol
_atom_site_fract_x
_atom_site_fract_y
_atom_site_fract_z
_atom_site_occupancy
Co1 Co 0.000 0.000 0.000 1
Co2 Co 0.500 0.500 0.500 1
Ir1 Ir 0.000 0.000 0.404 1
Ir2 Ir 0.000 0.000 0.596 1
Ir3 Ir 0.500 0.500 0.096 1
Ir4 Ir 0.500 0.500 0.904 1
Rh1 Rh 0.000 0.500 0.250 1
Rh2 Rh 0.000 0.500 0.750 1
Rh3 Rh 0.500 0.000 0.250 1
Rh4 Rh 0.500 0.000 0.750 1
# - D(E_F) (states/eV/f.u.) = 5.8
# - M_tot (μB/f.u.) = 0.0

***

The structure with the least stability is A.

***

--- A ---
# CoIr2Rh2, relaxed, DFT GGA-PBE
data_CoIr2Rh2
_cell_length_a 2.705
_cell_length_b 3.765
_cell_length_c 13.445
_cell_angle_alpha 90.00
_cell_angle_beta 90.00
_cell_angle_gamma 90.00
_space_group_name_H-M_alt 'P 1'
_space_group_IT_number 1
_space_group_name_Hall 'P 1'
loop_
_atom_site_label
_atom_site_type_symbol
_atom_site_fract_x
_atom_site_fract_y
_atom_site_fract_z
_atom_site_occupancy
Co1 Co 0.000 0.000 0.000 1
Co2 Co 0.500 0.500 0.500 1
Ir1 Ir 0.000 0.000 0.404 1
Ir2 Ir 0.000 0.000 0.596 1
Ir3 Ir 0.500 0.500 0.096 1
Ir4 Ir 0.500 0.500 0.904 1
Rh1 Rh 0.000 0.000 0.197 1
Rh2 Rh 0.000 0.000 0.803 1
Rh3 Rh 0.500 0.500 0.303 1
Rh4 Rh 0.500 0.500 0.697 1
# - D(E_F) (states/eV/f.u.) = 5.9
# - M_tot (μB/f.u.) = 1.3

***

--- B ---
# CoIr2Rh2, relaxed, DFT GGA-PBE
data_CoIr2Rh2
_cell_length_a 6.288
_cell_length_b 6.288
_cell_length_c 3.814
_cell_angle_alpha 90.00
_cell_angle_beta 90.00
_cell_angle_gamma 90.00
_space_group_name_H-M_alt 'P 1'
_space_group_IT_number 1
_space_group_name_Hall 'P 1'
loop_
_atom_site_label
_atom_site_type_symbol
_atom_site_fract_x
_atom_site_fract_y
_atom_site_fract_z
_atom_site_occupancy
Co1 Co 0.000 0.000 0.000 1
Co2 Co 0.500 0.500 0.000 1
Ir1 Ir 0.139 0.361 0.000 1
Ir2 Ir 0.361 0.861 0.000 1
Ir3 Ir 0.639 0.139 0.000 1
Ir4 Ir 0.861 0.639 0.000 1
Rh1 Rh 0.157 0.657 0.500 1
Rh2 Rh 0.343 0.157 0.500 1
Rh3 Rh 0.657 0.843 0.500 1
Rh4 Rh 0.843 0.343 0.500 1
# - D(E_F) (states/eV/f.u.) = 6.9
# - M_tot (μB/f.u.) = 2.1

***

The structure with the least stability is B.

***

--- A ---
# Co3IrRh, relaxed, DFT GGA-PBE
data_Co3IrRh
_cell_length_a 6.224
_cell_length_b 6.224
_cell_length_c 5.169
_cell_angle_alpha 90.00
_cell_angle_beta 90.00
_cell_angle_gamma 140.25
_space_group_name_H-M_alt 'P 1'
_space_group_IT_number 1
_space_group_name_Hall 'P 1'
loop_
_atom_site_label
_atom_site_type_symbol
_atom_site_fract_x
_atom_site_fract_y
_atom_site_fract_z
_atom_site_occupancy
Co1 Co 0.128 0.872 0.750 1
Co2 Co 0.308 0.692 0.003 1
Co3 Co 0.308 0.692 0.497 1
Co4 Co 0.692 0.308 0.503 1
Co5 Co 0.692 0.308 0.997 1
Co6 Co 0.872 0.128 0.250 1
Ir1 Ir 0.494 0.506 0.250 1
Ir2 Ir 0.506 0.494 0.750 1
Rh1 Rh 0.120 0.880 0.250 1
Rh2 Rh 0.880 0.120 0.750 1
# - D(E_F) (states/eV/f.u.) = 7.2
# - M_tot (μB/f.u.) = 5.4

***

--- B ---
# Co3IrRh, relaxed, DFT GGA-PBE
data_Co3IrRh
_cell_length_a 4.476
_cell_length_b 4.476
_cell_length_c 4.476
_cell_angle_alpha 90.00
_cell_angle_beta 90.00
_cell_angle_gamma 90.00
_space_group_name_H-M_alt 'P 1'
_space_group_IT_number 1
_space_group_name_Hall 'P 1'
loop_
_atom_site_label
_atom_site_type_symbol
_atom_site_fract_x
_atom_site_fract_y
_atom_site_fract_z
_atom_site_occupancy
Co1 Co 0.000 0.000 0.500 1
Co2 Co 0.000 0.500 0.000 1
Co3 Co 0.500 0.000 0.000 1
Ir1 Ir 0.000 0.000 0.000 1
Rh1 Rh 0.500 0.500 0.500 1
# - D(E_F) (states/eV/f.u.) = 9.7
# - M_tot (μB/f.u.) = 7.5

***

The structure with the least stability is B.

***

--- A ---
# CoIr2Rh5, relaxed, DFT GGA-PBE
data_CoIr2Rh5
_cell_length_a 5.920
_cell_length_b 5.920
_cell_length_c 10.736
_cell_angle_alpha 90.00
_cell_angle_beta 90.00
_cell_angle_gamma 138.21
_space_group_name_H-M_alt 'P 1'
_space_group_IT_number 1
_space_group_name_Hall 'P 1'
loop_
_atom_site_label
_atom_site_type_symbol
_atom_site_fract_x
_atom_site_fract_y
_atom_site_fract_z
_atom_site_occupancy
Co1 Co 0.182 0.818 0.750 1
Co2 Co 0.818 0.182 0.250 1
Ir1 Ir 0.384 0.616 0.131 1
Ir2 Ir 0.384 0.616 0.369 1
Ir3 Ir 0.616 0.384 0.631 1
Ir4 Ir 0.616 0.384 0.869 1
Rh1 Rh 0.170 0.830 0.250 1
Rh2 Rh 0.172 0.828 0.504 1
Rh3 Rh 0.172 0.828 0.996 1
Rh4 Rh 0.400 0.600 0.622 1
Rh5 Rh 0.400 0.600 0.878 1
Rh6 Rh 0.600 0.400 0.122 1
Rh7 Rh 0.600 0.400 0.378 1
Rh8 Rh 0.828 0.172 0.004 1
Rh9 Rh 0.828 0.172 0.496 1
Rh10 Rh 0.830 0.170 0.750 1
# - D(E_F) (states/eV/f.u.) = 11.0
# - M_tot (μB/f.u.) = 1.5

***

--- B ---
# CoIr2Rh5, relaxed, DFT GGA-PBE
data_CoIr2Rh5
_cell_length_a 3.829
_cell_length_b 3.829
_cell_length_c 15.229
_cell_angle_alpha 90.00
_cell_angle_beta 90.00
_cell_angle_gamma 90.00
_space_group_name_H-M_alt 'P 1'
_space_group_IT_number 1
_space_group_name_Hall 'P 1'
loop_
_atom_site_label
_atom_site_type_symbol
_atom_site_fract_x
_atom_site_fract_y
_atom_site_fract_z
_atom_site_occupancy
Co1 Co 0.000 0.000 0.000 1
Co2 Co 0.500 0.500 0.500 1
Ir1 Ir 0.000 0.000 0.250 1
Ir2 Ir 0.000 0.000 0.750 1
Ir3 Ir 0.500 0.500 0.250 1
Ir4 Ir 0.500 0.500 0.750 1
Rh1 Rh 0.000 0.000 0.500 1
Rh2 Rh 0.000 0.500 0.124 1
Rh3 Rh 0.000 0.500 0.376 1
Rh4 Rh 0.000 0.500 0.624 1
Rh5 Rh 0.000 0.500 0.876 1
Rh6 Rh 0.500 0.000 0.124 1
Rh7 Rh 0.500 0.000 0.376 1
Rh8 Rh 0.500 0.000 0.624 1
Rh9 Rh 0.500 0.000 0.876 1
Rh10 Rh 0.500 0.500 0.000 1
# - D(E_F) (states/eV/f.u.) = 10.3
# - M_tot (μB/f.u.) = 2.4

***

The structure with the least stability is A.

***

--- A ---
# CoIrRh3, relaxed, DFT GGA-PBE
data_CoIrRh3
_cell_length_a 4.371
_cell_length_b 4.371
_cell_length_c 4.371
_cell_angle_alpha 90.00
_cell_angle_beta 90.00
_cell_angle_gamma 90.00
_space_group_name_H-M_alt 'P 1'
_space_group_IT_number 1
_space_group_name_Hall 'P 1'
loop_
_atom_site_label
_atom_site_type_symbol
_atom_site_fract_x
_atom_site_fract_y
_atom_site_fract_z
_atom_site_occupancy
Co1 Co 0.000 0.000 0.000 1
Ir1 Ir 0.500 0.500 0.500 1
Rh1 Rh 0.000 0.000 0.500 1
Rh2 Rh 0.000 0.500 0.000 1
Rh3 Rh 0.500 0.000 0.000 1
# - D(E_F) (states/eV/f.u.) = 10.6
# - M_tot (μB/f.u.) = 3.7

***

--- B ---
# CoIrRh3, relaxed, DFT GGA-PBE
data_CoIrRh3
_cell_length_a 7.037
_cell_length_b 8.922
_cell_length_c 4.597
_cell_angle_alpha 90.00
_cell_angle_beta 90.00
_cell_angle_gamma 90.00
_space_group_name_H-M_alt 'P 1'
_space_group_IT_number 1
_space_group_name_Hall 'P 1'
loop_
_atom_site_label
_atom_site_type_symbol
_atom_site_fract_x
_atom_site_fract_y
_atom_site_fract_z
_atom_site_occupancy
Co1 Co 0.000 0.000 0.000 1
Co2 Co 0.000 0.500 0.000 1
Co3 Co 0.500 0.000 0.500 1
Co4 Co 0.500 0.500 0.500 1
Ir1 Ir 0.168 0.250 0.391 1
Ir2 Ir 0.332 0.750 0.891 1
Ir3 Ir 0.668 0.250 0.109 1
Ir4 Ir 0.832 0.750 0.609 1
Rh1 Rh 0.015 0.250 0.877 1
Rh2 Rh 0.161 0.571 0.511 1
Rh3 Rh 0.161 0.929 0.511 1
Rh4 Rh 0.339 0.071 0.011 1
Rh5 Rh 0.339 0.429 0.011 1
Rh6 Rh 0.485 0.750 0.377 1
Rh7 Rh 0.515 0.250 0.623 1
Rh8 Rh 0.661 0.571 0.989 1
Rh9 Rh 0.661 0.929 0.989 1
Rh10 Rh 0.839 0.071 0.489 1
Rh11 Rh 0.839 0.429 0.489 1
Rh12 Rh 0.985 0.750 0.123 1
# - D(E_F) (states/eV/f.u.) = 8.6
# - M_tot (μB/f.u.) = 2.3

***

The structure with the least stability is A.